## NaPd2Br (PBEsol)

Data for an optimized crystal structure of NaPd2Br.

Unit cell a=3.8519 b=3.8519 c=10.2843 alpha=100.79 beta=100.79 gamma=90.00
Fractional coordinates of all 8 atoms:
Br: 0.0000 0.0000 0.0000
Br: 0.2500 0.7500 0.5000
Pd: 0.6250 0.6330 0.7500
Pd: 0.3670 0.8750 0.2500
Pd: 0.1250 0.1170 0.7500
Pd: 0.8830 0.3750 0.2500
Na: 0.5000 0.5000 0.0000
Na: 0.7500 0.2500 0.5000

Properties
- Space group: No. 122
- ΔE_f (raw): -20 kJ/mol of formula units
- Raw total energy: -3.85 eV/atom
- D(E_F): 0.49 states/eV/atom